Below is crystalline Sr2RhIN at its relaxed geometry, with properties calculated at the PBE-GGA level.

**E_form (uncorrected)**: -75 kJ/mol of atoms
**Volume**: 24.4 Å³/atom
**E**: -4.90 eV per atom
**Symmetry**: P4/mmm (123)

a = 5.591 Å, b = 5.591 Å, c = 3.906 Å
α = 90.00°, β = 90.00°, γ = 90.00°
Fractional coordinates of all 5 atoms:
N 0.000 0.000 0.000
Rh 0.000 0.000 0.500
Sr 0.500 0.000 0.000
I 0.500 0.500 0.500
Sr 0.000 0.500 0.000

Below is crystalline TaRhI2N at its relaxed geometry, with properties calculated at the PBE-GGA level.

**E_form (uncorrected)**: 101 kJ/mol of atoms
**Volume**: 22.7 Å³/atom
**Energy above the lowest structure with this stoichiometry**: 2.12 eV/f.u.
**E**: -5.08 eV per atom
**Symmetry**: P4/mmm (123)

a = 5.589 Å, b = 5.589 Å, c = 3.642 Å
α = 90.00°, β = 90.00°, γ = 90.00°
Each line ends with the local moment (μB).
Fractional coordinates of all 5 atoms:
N 0.000 0.000 0.500  -0.04
I 0.000 0.500 0.000  -0.05
I 0.500 0.000 0.000  -0.05
Ta 0.500 0.500 0.500  1.68
Rh 0.000 0.000 0.000  -0.01

Below is crystalline TaRhI2N at its relaxed geometry, with properties calculated at the PBE-GGA level.

**E_form (uncorrected)**: 60 kJ/mol of atoms
**Volume**: 24.5 Å³/atom
**Energy above the lowest structure with this stoichiometry**: 0.00 eV/f.u.
**E**: -5.50 eV per atom
**Symmetry**: P4/mmm (123)

a = 5.618 Å, b = 5.618 Å, c = 3.874 Å
α = 90.00°, β = 90.00°, γ = 90.00°
Each line ends with the local moment (μB).
Fractional coordinates of all 5 atoms:
N 0.000 0.000 0.500  0.01
I 0.000 0.500 0.000  0.05
Rh 0.500 0.500 0.500  1.20
I 0.500 0.000 0.000  0.05
Ta 0.000 0.000 0.000  -0.02

Below is crystalline TcRhIN2 at its relaxed geometry, with properties calculated at the PBE-GGA level.

**E_form (uncorrected)**: 88 kJ/mol of atoms
**Volume**: 17.3 Å³/atom
**Energy above the lowest structure with this stoichiometry**: 0.00 eV/f.u.
**E**: -6.27 eV per atom
**Symmetry**: P4/mmm (123)

a = 3.832 Å, b = 3.832 Å, c = 5.879 Å
α = 90.00°, β = 90.00°, γ = 90.00°
Each line ends with the local moment (μB).
Fractional coordinates of all 5 atoms:
I 0.000 0.000 0.500  0.02
N 0.000 0.500 0.000  0.07
Tc 0.000 0.000 0.000  -0.03
N 0.500 0.000 0.000  0.07
Rh 0.500 0.500 0.500  0.64

Below is crystalline TcRhIN2 at its relaxed geometry, with properties calculated at the PBE-GGA level.

**E_form (uncorrected)**: 155 kJ/mol of atoms
**Volume**: 22.2 Å³/atom
**Energy above the lowest structure with this stoichiometry**: 3.48 eV/f.u.
**E**: -5.57 eV per atom
**Symmetry**: P4/mmm (123)

a = 3.831 Å, b = 3.831 Å, c = 7.566 Å
α = 90.00°, β = 90.00°, γ = 90.00°
Each line ends with the local moment (μB).
Fractional coordinates of all 5 atoms:
I 0.000 0.000 0.500  0.11
Rh 0.000 0.000 0.000  -0.02
N 0.500 0.000 0.000  0.20
Tc 0.500 0.500 0.500  2.93
N 0.000 0.500 0.000  0.20

Below is crystalline Te2RhIN at its relaxed geometry, with properties calculated at the PBE-GGA level.

**E_form (uncorrected)**: 156 kJ/mol of atoms
**Volume**: 25.9 Å³/atom
**Energy above the lowest structure with this stoichiometry**: 5.74 eV/f.u.
**E**: -3.08 eV per atom
**Symmetry**: P4/mmm (123)

a = 5.813 Å, b = 3.832 Å, c = 5.813 Å
α = 90.00°, β = 90.00°, γ = 90.00°
Each line ends with the local moment (μB).
Fractional coordinates of all 5 atoms:
N 0.000 0.500 0.000  0.01
Rh 0.500 0.500 0.500  0.29
Te 0.500 0.000 0.000  0.01
Te 0.000 0.000 0.500  0.00
I 0.000 0.000 0.000  0.01

Below is crystalline TeRhI2N at its relaxed geometry, with properties calculated at the PBE-GGA level.

**E_form (uncorrected)**: 51 kJ/mol of atoms
**Volume**: 24.8 Å³/atom
**Energy above the lowest structure with this stoichiometry**: 0.00 eV/f.u.
**E**: -3.85 eV per atom
**Symmetry**: P4/mmm (123)

a = 5.785 Å, b = 5.785 Å, c = 3.703 Å
α = 90.00°, β = 90.00°, γ = 90.00°
Fractional coordinates of all 5 atoms:
I 0.500 0.000 0.000
Rh 0.000 0.000 0.000
I 0.000 0.500 0.000
Te 0.500 0.500 0.500
N 0.000 0.000 0.500

Below is crystalline TeRhIN2 at its relaxed geometry, with properties calculated at the PBE-GGA level.

**E_form (uncorrected)**: 154 kJ/mol of atoms
**Volume**: 22.3 Å³/atom
**Energy above the lowest structure with this stoichiometry**: 1.63 eV/f.u.
**E**: -4.15 eV per atom
**Symmetry**: P4/mmm (123)

a = 3.948 Å, b = 3.948 Å, c = 7.149 Å
α = 90.00°, β = 90.00°, γ = 90.00°
Each line ends with the local moment (μB).
Fractional coordinates of all 5 atoms:
I 0.000 0.000 0.500  0.04
Rh 0.500 0.500 0.500  0.94
N 0.000 0.500 0.000  0.01
N 0.500 0.000 0.000  0.01
Te 0.000 0.000 0.000  0.00

Below is crystalline TeRhI2N at its relaxed geometry, with properties calculated at the PBE-GGA level.

**E_form (uncorrected)**: 126 kJ/mol of atoms
**Volume**: 22.8 Å³/atom
**Energy above the lowest structure with this stoichiometry**: 3.88 eV/f.u.
**E**: -3.08 eV per atom
**Symmetry**: P4/mmm (123)

a = 4.817 Å, b = 4.817 Å, c = 4.906 Å
α = 90.00°, β = 90.00°, γ = 90.00°
Each line ends with the local moment (μB).
Fractional coordinates of all 5 atoms:
I 0.000 0.500 0.000  0.10
Te 0.000 0.000 0.500  0.09
I 0.500 0.000 0.000  0.10
Rh 0.500 0.500 0.500  1.09
N 0.000 0.000 0.000  -0.01

Below is crystalline TeRhI2N at its relaxed geometry, with properties calculated at the PBE-GGA level.

**E_form (uncorrected)**: 113 kJ/mol of atoms
**Volume**: 32.1 Å³/atom
**Energy above the lowest structure with this stoichiometry**: 3.18 eV/f.u.
**E**: -3.22 eV per atom
**Symmetry**: P4/mmm (123)

a = 5.670 Å, b = 5.670 Å, c = 4.995 Å
α = 90.00°, β = 90.00°, γ = 90.00°
Each line ends with the local moment (μB).
Fractional coordinates of all 5 atoms:
N 0.500 0.500 0.500  1.87
I 0.500 0.000 0.000  0.04
I 0.000 0.500 0.000  0.04
Te 0.000 0.000 0.500  -0.02
Rh 0.000 0.000 0.000  0.01

Below is crystalline Te2RhIN at its relaxed geometry, with properties calculated at the PBE-GGA level.

**E_form (uncorrected)**: 45 kJ/mol of atoms
**Volume**: 24.0 Å³/atom
**Energy above the lowest structure with this stoichiometry**: 0.00 eV/f.u.
**E**: -4.23 eV per atom
**Symmetry**: P4/mmm (123)

a = 5.711 Å, b = 5.711 Å, c = 3.673 Å
α = 90.00°, β = 90.00°, γ = 90.00°
Fractional coordinates of all 5 atoms:
I 0.500 0.500 0.500
N 0.000 0.000 0.500
Rh 0.000 0.000 0.000
Te 0.500 0.000 0.000
Te 0.000 0.500 0.000

Below is crystalline TeRhIN2 at its relaxed geometry, with properties calculated at the PBE-GGA level.

**E_form (uncorrected)**: 122 kJ/mol of atoms
**Volume**: 19.7 Å³/atom
**Energy above the lowest structure with this stoichiometry**: 0.00 eV/f.u.
**E**: -4.47 eV per atom
**Symmetry**: P4/mmm (123)

a = 4.130 Å, b = 4.130 Å, c = 5.763 Å
α = 90.00°, β = 90.00°, γ = 90.00°
Each line ends with the local moment (μB).
Fractional coordinates of all 5 atoms:
N 0.000 0.500 0.000  0.88
N 0.500 0.000 0.000  0.88
Rh 0.000 0.000 0.000  0.29
I 0.500 0.500 0.500  0.02
Te 0.000 0.000 0.500  0.02

What did the ninth record say?
Below is crystalline TeRhI2N at its relaxed geometry, with properties calculated at the PBE-GGA level.

**E_form (uncorrected)**: 126 kJ/mol of atoms
**Volume**: 22.8 Å³/atom
**Energy above the lowest structure with this stoichiometry**: 3.88 eV/f.u.
**E**: -3.08 eV per atom
**Symmetry**: P4/mmm (123)

a = 4.817 Å, b = 4.817 Å, c = 4.906 Å
α = 90.00°, β = 90.00°, γ = 90.00°
Each line ends with the local moment (μB).
Fractional coordinates of all 5 atoms:
I 0.000 0.500 0.000  0.10
Te 0.000 0.000 0.500  0.09
I 0.500 0.000 0.000  0.10
Rh 0.500 0.500 0.500  1.09
N 0.000 0.000 0.000  -0.01

Question: volume of number 8 (TeRhIN2)?
Answer: 22.3 Å³/atom